This record from Alexandria via LeMat-Bulk describes AcInTe after structural relaxation. The functional is PBE-GGA.

Output
Energy above the most stable polymorph in this dataset in meV per atom: 0.0
Formation energy without anion corrections in meV/atom: -671
Symmetry: No. 107
Total energy in eV for the cell shown: -12.00

Lattice parameters (Å, degrees): 4.1417 4.1417 6.4225 108.81 108.81 90.00
With the nearest neighbours (Å) after each atom.
Positions (direct):
Ac (0.6224, 0.6224, 0.2448)  5 Te 3.47-3.86, 5 In 3.58-3.66
Te (0.2851, 0.2851, 0.5702)  4 In 3.44, 4 Ac 3.47
In (0.9425, 0.9425, 0.8850)  4 Te 3.44, 5 Ac 3.58-3.66